The following is a DFT calculation (GGA-PBE) of crystalline NaMgPd2O4 at its relaxed geometry.

abc: 4.465 4.465 8.746
angles: 90.00 90.00 90.00
Space group I4/mmm (No. 139)
Asymmetric unit:
Na (0.000, 0.000, 0.000) (multiplicity 2)
Mg (0.000, 0.000, 0.500) (multiplicity 2)
Pd (0.000, 0.500, 0.250) (multiplicity 4)
O (0.000, 0.000, 0.266) (multiplicity 4)
O (0.000, 0.500, 0.000) (multiplicity 4)

Values from the calculation:
raw total energy: -5.18 eV/atom
total moment: 0.0 Bohr magnetons per cell